Entry 1:
Here is Ho2GaIr after structural relaxation from Alexandria. Energies are from PBE.

Geometry as extended XYZ:
```
4
Lattice="3.926 0.000 0.000 1.963 3.400 0.000 1.963 1.133 9.184" Properties=species:S:1:pos:R:3 pbc="T T T"
Ga 0.000 0.000 0.000
Ho 5.889 3.400 3.079
Ho 1.963 1.133 6.105
Ir 3.926 2.266 4.592
```

Computed properties:
Magnetic moment: 0.00 μB/cell
Energy relative to the elements: -0.27 eV per atom

=====

Entry 2:
Here is Ho4GaIr after structural relaxation from Alexandria. Energies are from PBE.

Geometry as extended XYZ:
```
12
Lattice="6.850 0.000 -0.066 0.000 6.915 0.000 -0.167 0.000 7.108" Properties=species:S:1:pos:R:3 pbc="T T T"
Ho 4.275 1.081 5.801
Ho 2.408 5.834 1.241
Ho 4.497 4.574 4.597
Ho 2.186 2.341 2.445
Ho 5.833 4.538 1.207
Ho 5.611 1.116 2.411
Ho 0.850 2.377 5.834
Ho 1.072 5.798 4.630
Ir 3.342 0.000 3.521
Ir -0.083 3.457 3.554
Ga 0.000 0.000 0.000
Ga 3.425 3.457 -0.033
```

Computed properties:
Magnetic moment: 0.00 μB/cell
Energy relative to the elements: -0.45 eV per atom
Energy above the most stable polymorph in this dataset: 150 meV per atom

=====

Entry 3:
Here is Ho2Ga8Ir after structural relaxation from Alexandria. Energies are from PBE.

Geometry as extended XYZ:
```
11
Lattice="-0.511 -3.924 -1.716 4.011 0.168 -1.577 3.871 -4.598 9.360" Properties=species:S:1:pos:R:3 pbc="T T T"
Ga 0.219 -2.525 0.287
Ga 4.432 -5.063 4.838
Ga 3.941 -2.215 3.892
Ga 5.403 -3.951 7.426
Ga 3.142 -5.997 7.356
Ga 2.940 -3.291 1.230
Ga 2.479 -0.479 0.357
Ga 1.680 -4.261 3.822
Ir 0.000 0.000 0.000
Ho 1.190 -1.413 2.877
Ho 2.681 -3.185 6.483
```

Computed properties:
Magnetic moment: 0.00 μB/cell
Energy relative to the elements: -0.54 eV per atom

=====

Entry 4:
Here is Ho4Ga6Ir7 after structural relaxation from Alexandria. Energies are from PBE.

Geometry as extended XYZ:
```
17
Lattice="6.858 0.000 -2.425 -3.429 5.939 -2.425 0.000 0.000 7.274" Properties=species:S:1:pos:R:3 pbc="T T T"
Ga 4.715 0.000 3.334
Ga -2.357 4.083 3.334
Ga 2.143 0.000 1.515
Ga -1.072 1.856 1.515
Ga 2.357 4.083 -3.334
Ga 1.072 1.856 -1.515
Ir -0.857 4.454 1.212
Ir 0.000 0.000 0.000
Ir 2.572 1.485 3.637
Ir 0.857 4.454 -1.212
Ir 4.286 1.485 1.212
Ir 3.429 2.970 -1.212
Ir 0.000 2.970 3.637
Ho -1.715 2.970 -1.212
Ho 1.715 2.970 1.212
Ho 0.000 0.000 3.637
Ho 3.429 0.000 -1.212
```

Computed properties:
Magnetic moment: 0.00 μB/cell
Energy relative to the elements: -0.77 eV per atom

=====

Entry 5:
Here is Ho2GaIr3 after structural relaxation from Alexandria. Energies are from PBE.

Geometry as extended XYZ:
```
12
Lattice="5.541 0.000 0.000 -2.771 4.799 0.000 0.000 0.000 8.121" Properties=species:S:1:pos:R:3 pbc="T T T"
Ir 0.000 1.640 2.030
Ir 4.121 0.820 6.091
Ir 1.350 3.979 2.030
Ir 1.420 0.820 6.091
Ir -1.350 3.979 2.030
Ir 2.771 3.159 6.091
Ho 0.000 3.199 4.568
Ho 2.771 1.600 3.553
Ho 0.000 3.199 7.614
Ho 2.771 1.600 0.507
Ga 0.000 0.000 0.000
Ga 0.000 0.000 4.061
```

Computed properties:
Magnetic moment: 0.00 μB/cell
Energy relative to the elements: -0.85 eV per atom

=====

Entry 6:
Here is Ho3Ga6Ir5 after structural relaxation from Alexandria. Energies are from PBE.

Geometry as extended XYZ:
```
28
Lattice="4.188 0.000 0.000 0.000 9.471 0.000 0.000 0.000 12.519" Properties=species:S:1:pos:R:3 pbc="T T T"
Ir 2.094 4.400 4.817
Ir 0.000 8.214 4.357
Ir 2.094 1.257 10.616
Ir 2.094 4.400 7.702
Ir 0.000 5.071 1.442
Ir 0.000 8.214 8.162
Ir 0.000 7.467 0.000
Ir 2.094 2.004 6.259
Ir 2.094 1.257 1.903
Ir 0.000 5.071 11.076
Ho 2.094 6.997 6.259
Ho 0.000 2.474 0.000
Ho 0.000 2.384 3.760
Ho 2.094 7.087 10.020
Ho 0.000 2.384 8.759
Ho 2.094 7.087 2.499
Ga 2.094 0.223 8.192
Ga 0.000 9.248 1.932
Ga 2.094 3.839 2.239
Ga 0.000 3.942 6.259
Ga 2.094 0.223 4.327
Ga 2.094 5.529 0.000
Ga 0.000 9.248 10.586
Ga 0.000 5.633 4.021
Ga 0.000 0.454 6.259
Ga 0.000 5.633 8.498
Ga 2.094 9.017 0.000
Ga 2.094 3.839 10.280
```

Computed properties:
Magnetic moment: 0.00 μB/cell
Energy relative to the elements: -0.73 eV per atom

=====

Entry 7:
Here is HoGa8Ir2 after structural relaxation from Alexandria. Energies are from PBE.

Geometry as extended XYZ:
```
11
Lattice="-5.024 -3.621 -1.046 1.979 -1.052 -5.867 2.731 -4.276 1.688" Properties=species:S:1:pos:R:3 pbc="T T T"
Ga -0.360 -6.880 -4.188
Ga 2.537 -4.791 -3.585
Ga 0.046 -2.070 -1.036
Ga 1.187 -2.676 -4.420
Ga -2.852 -4.158 -1.639
Ga -1.711 -4.765 -5.023
Ga 1.396 -4.185 -0.202
Ga -1.502 -6.273 -0.805
Ir 0.990 -0.526 -2.934
Ir -2.512 -1.810 -0.523
Ho -0.157 -4.475 -2.612
```

Computed properties:
Magnetic moment: 0.00 μB/cell
Energy relative to the elements: -0.21 eV per atom

=====

Entry 8:
Here is Ho2Ga5Ir after structural relaxation from Alexandria. Energies are from PBE.

Geometry as extended XYZ:
```
8
Lattice="-2.678 -4.487 -2.957 5.948 -0.239 0.789 -1.041 0.572 5.886" Properties=species:S:1:pos:R:3 pbc="T T T"
Ga 1.227 0.083 1.668
Ga 3.953 -0.006 2.267
Ga 0.976 0.340 4.439
Ga 2.369 -1.674 3.515
Ga -0.117 -2.480 0.234
Ho 2.896 -2.278 0.632
Ho -0.598 -1.872 3.180
Ir 4.655 0.315 6.332
```

Computed properties:
Magnetic moment: 0.00 μB/cell
Energy relative to the elements: -0.48 eV per atom